Entry w
Here is a geometry-optimized Dy3Tm6Sc structure from the Alexandria database. Energies are from PBE.

Cell lengths 6.0770, 10.7661, 10.7661 Å; angles 119.87, 90.00, 90.00 degrees
Fractional positions:
Dy1 0.4555 0.9434 0.7226
Tm1 0.5357 0.2888 0.3828
Tm2 0.1366 0.7185 0.2815
Dy2 0.5673 0.6103 0.3897
Dy3 0.4555 0.2774 0.0566
Tm3 0.9289 0.0501 0.9499
Tm4 0.6366 0.2815 0.7185
Tm5 0.4289 0.9499 0.0501
Tm6 0.0357 0.3828 0.2888
Tm7 0.3637 0.5403 0.9611
Dy4 0.9555 0.7226 0.9434
Dy5 0.9555 0.0566 0.2774
Tm8 0.3637 0.0389 0.4597
Sc1 0.6429 0.7910 0.2090
Tm9 0.5357 0.6172 0.7112
Dy6 0.0673 0.3897 0.6103
Tm10 0.8637 0.4597 0.0389
Tm11 0.8637 0.9611 0.5403
Sc2 0.1429 0.2090 0.7910
Tm12 0.0357 0.7112 0.6172

As for the spin magnetization: 0.0 μB per cell. Its space-group type is Cmc2_1 (36). The crystal system is orthorhombic.

=====

Entry x
Here is a geometry-optimized Dy3Tm6Sc structure from the Alexandria database. Energies are from PBE.

Cell lengths 4.9259, 11.0039, 11.0137 Å; angles 90.04, 90.00, 90.00 degrees
Fractional positions:
Tm1 0.7500 0.7567 0.5009
Dy1 0.2500 0.7513 0.0008
Tm2 0.2500 0.1480 0.2020
Dy2 0.7500 0.6506 0.2014
Tm3 0.7500 0.9512 0.1029
Dy3 0.7500 0.4499 0.5995
Dy4 0.2500 0.3494 0.7986
Tm4 0.7500 0.8520 0.7980
Tm5 0.2500 0.0488 0.8971
Sc1 0.2500 0.9512 0.5979
Tm6 0.7500 0.3452 0.3016
Tm7 0.2500 0.6548 0.6984
Tm8 0.2500 0.2433 0.4991
Tm9 0.7500 0.1455 0.6951
Dy5 0.2500 0.5501 0.4005
Tm10 0.7500 0.5514 0.8992
Tm11 0.2500 0.4486 0.1008
Sc2 0.7500 0.0488 0.4021
Tm12 0.2500 0.8545 0.3049
Dy6 0.7500 0.2487 0.9992

As for the spin magnetization: 0.0 μB per cell. Its space-group type is P2_1/m (11). The crystal system is monoclinic.

=====

Relative energy table, unit meV/atom: entry w 112; entry x 0

=====

Entry w
Here is a geometry-optimized DyTm2Sc2 structure from the Alexandria database. Energies are from PBE.

Cell lengths 8.9893, 8.9893, 3.5206 Å; angles 90.00, 90.00, 90.00 degrees
Fractional positions:
Sc1 0.6208 0.8792 0.0000
Tm1 0.3249 0.8249 0.5000
Sc2 0.8792 0.3792 0.0000
Tm2 0.1751 0.3249 0.5000
Tm3 0.6751 0.1751 0.5000
Dy1 0.0000 0.0000 0.0000
Sc3 0.3792 0.1208 0.0000
Dy2 0.5000 0.5000 0.0000
Tm4 0.8249 0.6751 0.5000
Sc4 0.1208 0.6208 0.0000

As for the spin magnetization: 0.0 μB per cell. Its space-group type is P4/mbm (127). The crystal system is tetragonal.

=====

Entry x
Here is a geometry-optimized DyTm2Sc2 structure from the Alexandria database. Energies are from PBE.

Cell lengths 5.9498, 6.8665, 13.8729 Å; angles 90.00, 98.09, 90.00 degrees
Fractional positions:
Tm1 0.1457 0.3732 0.6974
Dy1 0.8504 0.1233 0.3031
Sc1 0.8848 0.3739 0.9002
Tm2 0.8543 0.6268 0.3026
Dy2 0.1496 0.8767 0.6969
Dy3 0.3504 0.3767 0.3031
Tm3 0.3543 0.8732 0.3026
Sc2 0.7499 0.8750 0.5001
Tm4 0.3811 0.6241 0.9016
Sc3 0.6152 0.8739 0.0998
Sc4 0.3848 0.1261 0.9002
Tm5 0.6457 0.1268 0.6974
Sc5 0.2501 0.1250 0.4999
Sc6 0.1152 0.6261 0.0998
Sc7 0.2499 0.6250 0.5001
Tm6 0.8811 0.8759 0.9016
Dy4 0.6496 0.6233 0.6969
Tm7 0.6189 0.3759 0.0984
Sc8 0.7501 0.3750 0.4999
Tm8 0.1189 0.1241 0.0984

As for the spin magnetization: 0.0 μB per cell. Its space-group type is P2_1/c (14). The crystal system is monoclinic.

=====

Relative energy table, unit meV/atom: entry w 32; entry x 0

=====

Entry w
Here is a geometry-optimized Dy2TmSc5 structure from the Alexandria database. Energies are from PBE.

Cell lengths 6.8407, 6.8412, 6.3282 Å; angles 105.68, 105.68, 120.00 degrees
Fractional positions:
Sc1 0.3201 0.7316 0.0000
Sc2 0.8240 0.2357 0.0000
Sc3 0.2346 0.3211 0.5000
Dy1 0.2419 0.8219 0.5083
Tm1 0.8177 0.7383 0.0000
Sc4 0.3165 0.2395 0.0000
Sc5 0.7346 0.8212 0.5001
Dy2 0.7336 0.3137 0.4917

As for the spin magnetization: 0.0 μB per cell. Its space-group type is Fmm2 (42). The crystal system is orthorhombic.

=====

Entry x
Here is a geometry-optimized Dy2TmSc5 structure from the Alexandria database. Energies are from PBE.

Cell lengths 6.6981, 6.6981, 6.6981 Å; angles 91.01, 119.42, 119.42 degrees
Fractional positions:
Tm1 0.0000 0.7781 0.7781
Sc1 0.4996 0.7776 0.7776
Sc2 0.5004 0.2780 0.2780
Dy1 0.5000 0.7778 0.2778
Sc3 0.0000 0.2780 0.7776
Sc4 0.0000 0.2774 0.2774
Sc5 0.0000 0.7776 0.2780
Dy2 0.5000 0.2778 0.7778

As for the spin magnetization: 0.0 μB per cell. Its space-group type is I4mm (107). The crystal system is tetragonal.

=====

Relative energy table, unit meV/atom: entry w 0; entry x 35

=====

Entry w
Here is a geometry-optimized DyTm2Sc6 structure from the Alexandria database. Energies are from PBE.

Cell lengths 3.3841, 3.3841, 24.2739 Å; angles 90.00, 90.00, 120.00 degrees
Fractional positions:
Sc1 0.0000 0.0000 0.7833
Sc2 0.0000 0.0000 0.5621
Tm1 0.3333 0.6667 0.3280
Sc3 0.3333 0.6667 0.8869
Sc4 0.0000 0.0000 0.2167
Sc5 0.0000 0.0000 0.4379
Sc6 0.3333 0.6667 0.1131
Tm2 0.3333 0.6667 0.6720
Dy1 0.0000 0.0000 0.0000

As for the spin magnetization: 1.4 μB per cell. Its space-group type is P-6m2 (187). The crystal system is hexagonal.

=====

Entry x
Here is a geometry-optimized DyTm2Sc6 structure from the Alexandria database. Energies are from PBE.

Cell lengths 3.2879, 9.7101, 9.7101 Å; angles 56.08, 70.17, 70.17 degrees
Fractional positions:
Dy1 0.0000 0.0000 0.0000
Sc1 0.1652 0.3342 0.0000
Sc2 0.8350 0.0000 0.6657
Sc3 0.1652 0.0000 0.3343
Tm1 0.3334 0.3333 0.3333
Sc4 0.8350 0.6657 0.0000
Tm2 0.6667 0.6667 0.6667
Sc5 0.4998 0.6657 0.3343
Sc6 0.4998 0.3342 0.6657

As for the spin magnetization: 0.0 μB per cell. Its space-group type is P6/mmm (191). The crystal system is hexagonal.

=====

Relative energy table, unit meV/atom: entry w 5; entry x 0

=====

Entry w
Here is a geometry-optimized Dy3TmSc6 structure from the Alexandria database. Energies are from PBE.

Cell lengths 5.8331, 10.4009, 10.4009 Å; angles 119.53, 90.00, 90.00 degrees
Fractional positions:
Sc1 0.3631 0.0321 0.4600
Sc2 0.3631 0.5400 0.9679
Sc3 0.8631 0.9679 0.5400
Sc4 0.4337 0.9518 0.0482
Tm1 0.1541 0.2108 0.7892
Sc5 0.6361 0.2858 0.7142
Dy1 0.4674 0.9320 0.7203
Tm2 0.6541 0.7892 0.2108
Sc6 0.5205 0.6135 0.7174
Sc7 0.5205 0.2826 0.3865
Dy2 0.4674 0.2797 0.0680
Dy3 0.0594 0.3953 0.6047
Dy4 0.5594 0.6047 0.3953
Sc8 0.1361 0.7142 0.2858
Sc9 0.9337 0.0482 0.9518
Sc10 0.8631 0.4600 0.0321
Sc11 0.0205 0.7174 0.6135
Sc12 0.0205 0.3865 0.2826
Dy5 0.9674 0.0680 0.2797
Dy6 0.9674 0.7203 0.9320

As for the spin magnetization: 0.6 μB per cell. Its space-group type is Cmc2_1 (36). The crystal system is orthorhombic.

=====

Entry x
Here is a geometry-optimized Dy3TmSc6 structure from the Alexandria database. Energies are from PBE.

Cell lengths 9.2309, 9.2309, 6.5225 Å; angles 44.96, 44.96, 60.00 degrees
Fractional positions:
Sc1 0.4338 0.7669 0.7015
Sc2 0.2659 0.9324 0.2007
Tm1 0.8506 0.8506 0.4481
Sc3 0.7669 0.0977 0.7015
Dy1 0.3508 0.3508 0.9476
Sc4 0.0977 0.4338 0.7015
Sc5 0.6010 0.2659 0.2007
Dy2 0.1006 0.1006 0.6983
Dy3 0.6002 0.6002 0.1994
Sc6 0.9324 0.6010 0.2007

As for the spin magnetization: 0.0 μB per cell. Its space-group type is R3 (146). The crystal system is trigonal.

=====

Relative energy table, unit meV/atom: entry w 0; entry x 244

=====

Entry w
Here is a geometry-optimized Dy5Tm2Sc5 structure from the Alexandria database. Energies are from PBE.

Cell lengths 5.3802, 11.4065, 6.3537 Å; angles 93.46, 64.95, 76.36 degrees
Fractional positions:
Dy1 0.6696 0.2913 0.3695
Tm1 0.3329 0.4553 0.8789
Sc1 0.6673 0.0402 0.6252
Dy2 0.9923 0.7554 0.2600
Sc2 0.3327 0.9598 0.3748
Sc3 0.0000 0.5000 0.5000
Dy3 0.0000 0.0000 0.0000
Dy4 0.3304 0.7087 0.6305
Sc4 0.6608 0.7982 0.8803
Dy5 0.0077 0.2446 0.7400
Tm2 0.6671 0.5447 0.1211
Sc5 0.3392 0.2018 0.1197

As for the spin magnetization: 0.0 μB per cell. Its space-group type is C2/m (12). The crystal system is monoclinic.

=====

Entry x
Here is a geometry-optimized Dy5Tm2Sc5 structure from the Alexandria database. Energies are from PBE.

Cell lengths 4.8172, 7.6295, 10.8331 Å; angles 115.05, 90.00, 108.40 degrees
Fractional positions:
Sc1 0.7495 0.4989 0.7458
Tm1 0.9165 0.8329 0.2537
Sc2 0.0000 0.0000 0.0000
Dy1 0.6645 0.3289 0.9992
Dy2 0.5873 0.1747 0.2519
Tm2 0.0835 0.1671 0.7463
Sc3 0.1708 0.3416 0.5018
Dy3 0.5000 0.0000 0.5000
Sc4 0.2505 0.5011 0.2542
Dy4 0.3355 0.6711 0.0008
Sc5 0.8292 0.6584 0.4982
Dy5 0.4127 0.8253 0.7481

As for the spin magnetization: 0.0 μB per cell. Its space-group type is C2/m (12). The crystal system is monoclinic.

=====

Relative energy table, unit meV/atom: entry w 32; entry x 0

=====

Entry w
Here is a geometry-optimized DyTm4Sc structure from the Alexandria database. Energies are from PBE.

Cell lengths 6.2060, 8.7662, 8.3545 Å; angles 112.79, 100.22, 111.69 degrees
Fractional positions:
Tm1 0.2064 0.5833 0.7495
Tm2 0.7936 0.4167 0.2505
Tm3 0.0430 0.1662 0.7495
Tm4 0.7484 0.7107 0.6138
Tm5 0.2516 0.2893 0.3862
Dy1 0.3373 0.5873 0.1746
Tm6 0.9570 0.8338 0.2505
Tm7 0.6345 0.0969 0.3862
Tm8 0.3655 0.9031 0.6138
Dy2 0.6627 0.4127 0.8254
Sc1 0.7503 0.0003 0.0007
Sc2 0.2497 0.9997 0.9993

As for the spin magnetization: 0.0 μB per cell. Its space-group type is C2/c (15). The crystal system is monoclinic.

=====

Entry x
Here is a geometry-optimized DyTm4Sc structure from the Alexandria database. Energies are from PBE.

Cell lengths 3.5385, 5.4734, 9.3446 Å; angles 90.00, 100.92, 90.00 degrees
Fractional positions:
Tm1 0.0564 0.5026 0.3587
Tm2 0.2832 0.0028 0.8123
Tm3 0.9459 0.0027 0.1367
Tm4 0.7285 0.5028 0.7025
Dy1 0.6137 0.0026 0.4733
Sc1 0.3913 0.5028 0.0277

As for the spin magnetization: 0.0 μB per cell. Its space-group type is Amm2 (38). The crystal system is orthorhombic.

=====

Relative energy table, unit meV/atom: entry w 138; entry x 0

=====

Entry w
Here is a geometry-optimized Dy2TmSc structure from the Alexandria database. Energies are from PBE.

Cell lengths 3.4875, 3.4875, 9.6296 Å; angles 90.00, 90.00, 90.00 degrees
Fractional positions:
Dy1 0.0000 0.0000 0.2409
Dy2 0.0000 0.0000 0.7591
Tm1 0.5000 0.5000 0.5000
Sc1 0.5000 0.5000 0.0000

As for the spin magnetization: 0.0 μB per cell. Its space-group type is P4/mmm (123). The crystal system is tetragonal.

=====

Entry x
Here is a geometry-optimized Dy2TmSc structure from the Alexandria database. Energies are from PBE.

Cell lengths 3.4881, 6.0425, 12.3532 Å; angles 114.07, 98.11, 89.98 degrees
Fractional positions:
Dy1 0.4129 0.3490 0.3120
Sc1 0.2933 0.4819 0.0718
Dy2 0.1722 0.9464 0.8293
Tm1 0.5415 0.8977 0.5703
Sc2 0.7935 0.9819 0.0719
Tm2 0.0415 0.3977 0.5703
Dy3 0.9127 0.8490 0.3120
Dy4 0.6720 0.4465 0.8293

As for the spin magnetization: 0.0 μB per cell. Its space-group type is R3m (160). The crystal system is trigonal.

=====

Entry y
Here is a geometry-optimized Dy2TmSc structure from the Alexandria database. Energies are from PBE.

Cell lengths 5.5073, 5.5073, 5.5073 Å; angles 60.00, 60.00, 60.00 degrees
Fractional positions:
Dy1 0.7500 0.7500 0.7500
Dy2 0.2500 0.2500 0.2500
Tm1 0.0000 0.0000 0.0000
Sc1 0.5000 0.5000 0.5000

As for the spin magnetization: 0.0 μB per cell. Its space-group type is Fm-3m (225). The crystal system is cubic.

=====

Relative energy table, unit meV/atom: entry w 8; entry x 0; entry y 87